[1]
The following is a DFT calculation (PBE) of a relaxed V6Re5Tc crystal.

Calculated formation energy: -0.352 eV per atom
DOS(E_F): 7.022 states/eV per cell

Geometry as POSCAR:
```
V6Re5Tc
1.0
-1.9804 -3.4097 -1.7145
5.1896 -1.6527 -2.7076
-0.0311 -0.9755 7.3675
Re Tc V
5 1 6
Cartesian
2.5948 -0.8264 -1.3538
2.1281 -3.6979 -0.4956
1.0500 -2.3401 3.4409
3.6431 -3.1627 2.0816
-0.4651 -2.8752 0.8637
0.0000 0.0000 0.0000
-1.2399 -3.6298 3.2594
1.8199 -1.5807 1.0415
4.4180 -2.4081 -0.3141
2.9052 -2.9455 -2.8897
1.3582 -4.4573 1.9039
0.3040 -2.1170 -1.5325
```

[2]
The following is a DFT calculation (PBE) of a relaxed Al2OsSe crystal.

DOS(E_F): 1.139 states/eV per cell
Formation energy from raw total energies: 0.24 eV per atom

Geometry as POSCAR:
```
Al2OsSe
1.0
-1.5905 1.6564 2.1432
-3.8655 -0.3713 -2.5818
-1.0182 -3.6245 2.0457
Se Al Os
1 2 1
Cartesian
-2.4419 -1.9979 -0.2681
0.0000 0.0000 0.0000
-2.7280 0.6426 -0.2193
-1.3043 -0.9841 2.0944
```

[3]
The following is a DFT calculation (PBE) of a relaxed Pr4HoHg4 crystal.

Calculated formation energy: -0.263 eV per atom
DOS(E_F): 13.788 states/eV per cell

Geometry as POSCAR:
```
Pr4HoHg4
1.0
-2.1020 -3.4372 4.1838
7.6073 -5.8245 -0.9632
4.7654 5.1310 6.6097
Hg Pr Ho
8 8 2
Cartesian
3.3059 1.4142 7.7932
7.9185 -1.3698 3.7916
4.4930 -1.7858 7.9153
3.9649 -0.1239 2.8288
9.5896 -1.3890 6.7700
4.1652 -4.9820 5.1247
1.1705 -1.9415 2.0863
6.4756 -6.3451 3.0109
1.8995 -0.9175 5.1351
8.3290 -3.9581 1.8355
7.9007 -3.9828 5.6318
7.5055 -2.2133 9.1135
4.4137 -3.9318 2.1164
6.3277 0.5706 6.7771
3.5731 2.4950 4.7476
1.1339 -4.5851 3.9638
5.1354 -2.0654 4.9151
0.0000 0.0000 0.0000
```

Please write out number 1 again, unchanged.
The following is a DFT calculation (PBE) of a relaxed V6Re5Tc crystal.

Calculated formation energy: -0.352 eV per atom
DOS(E_F): 7.022 states/eV per cell

Geometry as POSCAR:
```
V6Re5Tc
1.0
-1.9804 -3.4097 -1.7145
5.1896 -1.6527 -2.7076
-0.0311 -0.9755 7.3675
Re Tc V
5 1 6
Cartesian
2.5948 -0.8264 -1.3538
2.1281 -3.6979 -0.4956
1.0500 -2.3401 3.4409
3.6431 -3.1627 2.0816
-0.4651 -2.8752 0.8637
0.0000 0.0000 0.0000
-1.2399 -3.6298 3.2594
1.8199 -1.5807 1.0415
4.4180 -2.4081 -0.3141
2.9052 -2.9455 -2.8897
1.3582 -4.4573 1.9039
0.3040 -2.1170 -1.5325
```

Q: Which value of DOS(E_F) does entry 1 give?
A: 7.022 states/eV per cell